Material: Si2PdWI
Method: DFT, GGA-PBE
State: relaxed

Lattice parameters (Å, degrees): 4.800 5.158 4.800 90.00 90.00 90.00
Atoms (fractional coordinates):
Si: 0.500 0.000 0.000
Si: 0.000 0.000 0.500
W: 0.000 0.000 0.000
I: 0.500 0.500 0.500
Pd: 0.000 0.500 0.000

Computed properties:
space group: No. 123
energy relative to the elements, uncorrected: 0.9246 eV/atom